VASP calculation (GGA-PBE) on a relaxed structure of Nd3SnTe2.

Its final energy is -128.72 eV/cell. The formation energy from raw total energies is -1265.0 meV/atom. For the excess energy over the best structure of this formula in the dataset, the calculation gives 0 kJ/mol of formula units.

Unit cell a=7.8425 b=13.5676 c=7.8221 alpha=90.00 beta=109.62 gamma=90.00
Closest atoms and distances in Å follow each position.
Space group C2/c (No. 15)
Unique sites:
Nd  0.2398  0.0799  0.4991  2 Sn 3.14-3.15, 4 Te 3.19-3.26
Nd  0.2500  0.2500  0.0000  2 Sn 3.17, 4 Te 3.20
Sn  0.0000  0.0859  0.7500  6 Nd 3.14-3.17
Te  0.0000  0.2526  0.2500  6 Nd 3.20-3.24
Te  0.0000  0.4171  0.7500  6 Nd 3.19-3.26

---

VASP calculation (GGA-PBE) on a relaxed structure of Nd3SnTe.

Its final energy is -48.79 eV/cell. The formation energy from raw total energies is -589.3 meV/atom.

Unit cell a=4.4293 b=9.2273 c=10.8176 alpha=108.78 beta=90.05 gamma=103.85
Closest atoms and distances in Å follow each position.
Space group P-1 (No. 2)
Unique sites:
Nd  0.0183  0.0365  0.1745  2 Sn 3.17, 1 Te 3.17
Nd  0.1766  0.3525  0.5571  3 Sn 3.12-3.19, 1 Te 3.14
Nd  0.3479  0.6957  0.9491  3 Te 3.16-3.24, 1 Sn 3.26
Sn  0.3648  0.7298  0.6585  6 Nd 3.12-3.26
Te  0.1608  0.3225  0.8378  5 Nd 3.14-3.24

---

VASP calculation (GGA-PBE) on a relaxed structure of Nd6SnTe3.

Its final energy is -103.17 eV/cell. The formation energy from raw total energies is -955.0 meV/atom.

Unit cell a=12.5224 b=4.3157 c=12.9711 alpha=90.00 beta=105.48 gamma=90.00
Closest atoms and distances in Å follow each position.
Space group P2_1/m (No. 11)
Unique sites:
Nd  0.0107  0.2500  0.3573  4 Te 3.22-3.27
Nd  0.0914  0.2500  0.8989  4 Te 3.08-3.18
Nd  0.2535  0.7500  0.2926  3 Te 3.17-3.18, 2 Sn 3.28
Nd  0.2966  0.7500  0.7572  3 Te 3.14-3.21, 1 Sn 3.45
Nd  0.3833  0.2500  0.5410  3 Sn 3.22-3.34, 2 Te 3.33
Nd  0.4340  0.7500  0.1182  3 Te 3.06-3.14, 2 Sn 3.26
Sn  0.4554  0.2500  0.3109  8 Nd 3.22-3.45
Te  0.0993  0.2500  0.1462  6 Nd 3.15-3.22
Te  0.1742  0.7500  0.5061  7 Nd 3.18-3.33
Te  0.3451  0.2500  0.9400  6 Nd 3.06-3.14

---

VASP calculation (GGA-PBE) on a relaxed structure of Nd5SnTe4.

Its final energy is -107.52 eV/cell. The formation energy from raw total energies is -1335.1 meV/atom.

Unit cell a=10.1046 b=10.1046 c=6.3632 alpha=90.00 beta=90.00 gamma=90.00
Closest atoms and distances in Å follow each position.
Space group I4/m (No. 87)
Unique sites:
Nd  0.0000  0.0000  0.0000  2 Sn 3.18, 4 Te 3.20
Nd  0.0984  0.2932  0.5000  1 Sn 3.12, 5 Te 3.18-3.24
Sn  0.0000  0.0000  0.5000  6 Nd 3.12-3.18
Te  0.0981  0.3013  0.0000  6 Nd 3.18-3.24

---

VASP calculation (GGA-PBE) on a relaxed structure of NdSnTe3.

Its final energy is -88.64 eV/cell. The formation energy from raw total energies is -792.7 meV/atom.

Unit cell a=18.7485 b=4.6477 c=8.4307 alpha=90.00 beta=105.14 gamma=90.00
Closest atoms and distances in Å follow each position.
Space group C2/m (No. 12)
Unique sites:
Nd  0.2194  0.0000  0.2500  7 Te 3.18-3.34
Sn  0.0441  0.5000  0.7003  3 Te 2.87-3.10
Te  0.0356  0.0000  0.1721  1 Te 2.86, 2 Sn 3.10
Te  0.1646  0.0000  0.5776  3 Nd 3.19-3.25
Te  0.1661  0.5000  0.9890  1 Sn 2.87, 2 Nd 3.18

---

VASP calculation (GGA-PBE) on a relaxed structure of NdSnTe.

Its final energy is -59.67 eV/cell. The formation energy from raw total energies is -1001.9 meV/atom.

Unit cell a=4.3166 b=4.3166 c=19.5295 alpha=90.00 beta=90.00 gamma=90.00
Closest atoms and distances in Å follow each position.
Space group I4/mmm (No. 139)
Unique sites:
Nd  0.0000  0.0000  0.1407  5 Te 3.19-3.33, 4 Sn 3.49
Sn  0.0000  0.5000  0.0000  4 Sn 3.05
Te  0.0000  0.0000  0.3112  5 Nd 3.19-3.33

---

Repeat the second record exactly.
VASP calculation (GGA-PBE) on a relaxed structure of Nd3SnTe.

Its final energy is -48.79 eV/cell. The formation energy from raw total energies is -589.3 meV/atom.

Unit cell a=4.4293 b=9.2273 c=10.8176 alpha=108.78 beta=90.05 gamma=103.85
Closest atoms and distances in Å follow each position.
Space group P-1 (No. 2)
Unique sites:
Nd  0.0183  0.0365  0.1745  2 Sn 3.17, 1 Te 3.17
Nd  0.1766  0.3525  0.5571  3 Sn 3.12-3.19, 1 Te 3.14
Nd  0.3479  0.6957  0.9491  3 Te 3.16-3.24, 1 Sn 3.26
Sn  0.3648  0.7298  0.6585  6 Nd 3.12-3.26
Te  0.1608  0.3225  0.8378  5 Nd 3.14-3.24